# Ba2IrRh (GGA-PBE, relaxed)
data_Ba2IrRh
_space_group_name_H-M_alt 'P 1'
_space_group_IT_number 1
_cell_length_a 5.249
_cell_length_b 5.249
_cell_length_c 5.249
_cell_angle_alpha 60.00
_cell_angle_beta 60.00
_cell_angle_gamma 60.00
loop_
_space_group_symop_operation_xyz
'x,y,z'
loop_
_atom_site_label
_atom_site_type_symbol
_atom_site_fract_x
_atom_site_fract_y
_atom_site_fract_z
Ba1 Ba 0.000 0.000 0.000
Ba2 Ba 0.250 0.250 0.250
Ir1 Ir 0.500 0.500 0.500
Rh1 Rh 0.750 0.750 0.750
# E_form = 478 meV/atom
# ρ = 9.250 g/cm³
# Magnetization = 1.14 μB per formula unit
# N(E_F) = 6.2 states/eV per cell
# Distance to the lowest polymorph of the same formula = 659 meV/atom


# BaIr3Rh (GGA-PBE, relaxed)
data_BaIr3Rh
_space_group_name_H-M_alt 'P 1'
_space_group_IT_number 1
_cell_length_a 4.874
_cell_length_b 4.874
_cell_length_c 4.874
_cell_angle_alpha 90.00
_cell_angle_beta 90.00
_cell_angle_gamma 90.00
loop_
_space_group_symop_operation_xyz
'x,y,z'
loop_
_atom_site_label
_atom_site_type_symbol
_atom_site_fract_x
_atom_site_fract_y
_atom_site_fract_z
Ba1 Ba 0.000 0.000 0.000
Ir1 Ir 0.000 0.500 0.500
Ir2 Ir 0.500 0.000 0.500
Ir3 Ir 0.500 0.500 0.000
Rh1 Rh 0.500 0.500 0.500
# E_form = 1065 meV/atom
# ρ = 11.717 g/cm³
# Magnetization = 2.03 μB per formula unit
# N(E_F) = 9.9 states/eV per cell
# Distance to the lowest polymorph of the same formula = 0 meV/atom


# Ba2IrRh (GGA-PBE, relaxed)
data_Ba2IrRh
_space_group_name_H-M_alt 'P 1'
_space_group_IT_number 1
_cell_length_a 4.456
_cell_length_b 4.456
_cell_length_c 8.984
_cell_angle_alpha 104.38
_cell_angle_beta 104.38
_cell_angle_gamma 59.88
loop_
_space_group_symop_operation_xyz
'x,y,z'
loop_
_atom_site_label
_atom_site_type_symbol
_atom_site_fract_x
_atom_site_fract_y
_atom_site_fract_z
Ba1 Ba 0.000 0.000 0.000
Ba2 Ba 0.161 0.161 0.483
Ir1 Ir 0.415 0.415 0.241
Rh1 Rh 0.747 0.747 0.242
# E_form = -182 meV/atom
# ρ = 6.400 g/cm³
# Magnetization = 1.13 μB per formula unit
# N(E_F) = 5.6 states/eV per cell
# Distance to the lowest polymorph of the same formula = 0 meV/atom


# Ba8Ir2Rh (GGA-PBE, relaxed)
data_Ba8Ir2Rh
_space_group_name_H-M_alt 'P 1'
_space_group_IT_number 1
_cell_length_a 8.691
_cell_length_b 8.691
_cell_length_c 7.751
_cell_angle_alpha 90.43
_cell_angle_beta 90.43
_cell_angle_gamma 64.02
loop_
_space_group_symop_operation_xyz
'x,y,z'
loop_
_atom_site_label
_atom_site_type_symbol
_atom_site_fract_x
_atom_site_fract_y
_atom_site_fract_z
Ba1 Ba 0.123 0.123 0.307
Ba2 Ba 0.128 0.605 0.161
Ba3 Ba 0.371 0.371 0.698
Ba4 Ba 0.395 0.872 0.839
Ba5 Ba 0.605 0.128 0.161
Ba6 Ba 0.629 0.629 0.302
Ba7 Ba 0.872 0.395 0.839
Ba8 Ba 0.877 0.877 0.693
Ir1 Ir 0.238 0.238 0.010
Ir2 Ir 0.762 0.762 0.990
Rh1 Rh 0.500 0.500 0.000
# E_form = -115 meV/atom
# ρ = 5.005 g/cm³
# Magnetization = 0.00 μB per formula unit
# N(E_F) = 8.5 states/eV per cell
# Distance to the lowest polymorph of the same formula = 0 meV/atom